Here is a relaxed PmNd4Er2 crystal from the Alexandria database. Energies are from PBE.

Structure (POSCAR):
```
PmNd4Er2
1.0
-3.422 2.664 -5.353
-0.941 -5.929 -6.781
-8.884 -1.704 0.399
Pm Nd Er
2 8 4
Direct
0.000 0.500 0.000
0.500 0.500 0.000
0.149 0.353 0.350
0.149 0.850 0.853
0.231 0.241 0.741
0.788 0.241 0.741
0.212 0.759 0.259
0.851 0.150 0.147
0.769 0.759 0.259
0.851 0.647 0.650
0.281 0.969 0.469
0.500 0.000 0.000
0.500 0.500 0.500
0.719 0.031 0.531
```

Computed properties:
The calculation puts the magnetic moment at 0.0 μB/f.u. The value obtained for the calculated volume is 241.3 Å³/f.u. The calculation puts the density of states at the Fermi level at 22.37 states/eV per cell. As for the excess energy over the best structure of this formula in the dataset: 194.4 meV per atom.



Here is a relaxed Pm5Nd6Er crystal from the Alexandria database. Energies are from PBE.

Structure (POSCAR):
```
Pm5Nd6Er
1.0
-8.433 -4.208 -7.597
3.383 -4.354 -3.115
0.240 -5.955 2.146
Pm Nd Er
5 6 1
Direct
0.500 0.166 0.667
0.000 0.333 0.334
0.500 0.500 0.000
0.000 0.667 0.666
0.500 0.834 0.333
0.751 0.082 0.332
0.249 0.585 0.332
0.249 0.250 0.000
0.751 0.750 0.000
0.751 0.415 0.668
0.249 0.918 0.668
0.000 0.000 0.000
```

Computed properties:
The calculation puts the magnetic moment at 0.0 μB/f.u. The value obtained for the calculated volume is 414.1 Å³/f.u. The calculation puts the density of states at the Fermi level at 17.52 states/eV per cell. Its raw total energy is -0.1738 hartree per atom.



Here is a relaxed Pm6NdEr8 crystal from the Alexandria database. Energies are from PBE.

Structure (POSCAR):
```
Pm6NdEr8
1.0
-7.954 -1.866 -3.923
-0.222 -4.328 -7.960
-2.933 -8.147 -0.648
Pm Nd Er
6 1 8
Direct
0.463 0.895 0.870
0.105 0.228 0.130
0.228 0.537 0.130
0.772 0.463 0.870
0.895 0.772 0.870
0.537 0.105 0.130
0.000 0.000 0.000
0.253 0.283 0.576
0.717 0.112 0.424
0.112 0.747 0.424
0.576 0.576 0.271
0.424 0.424 0.729
0.888 0.253 0.576
0.283 0.888 0.576
0.747 0.717 0.424
```

Computed properties:
The calculation puts the magnetic moment at 0.0 μB/f.u. The value obtained for the calculated volume is 492.9 Å³/f.u. The calculation puts the density of states at the Fermi level at 21.57 states/eV per cell. Its raw total energy is -0.1663 hartree per atom.



Here is a relaxed Pm7Nd4Er crystal from the Alexandria database. Energies are from PBE.

Structure (POSCAR):
```
Pm7Nd4Er
1.0
-2.199 2.500 6.552
5.173 -2.524 2.698
3.938 9.203 6.064
Pm Nd Er
7 4 1
Direct
0.752 0.500 0.000
0.248 0.500 0.000
0.081 0.277 0.670
0.919 0.723 0.330
0.332 0.779 0.668
0.500 0.000 0.000
0.668 0.221 0.332
0.422 0.723 0.330
0.578 0.277 0.670
0.832 0.776 0.668
0.168 0.224 0.332
0.000 0.000 0.000
```

Computed properties:
The calculation puts the magnetic moment at 0.0 μB/f.u. The value obtained for the calculated volume is 413.5 Å³/f.u. The calculation puts the density of states at the Fermi level at 15.21 states/eV per cell. As for the excess energy over the best structure of this formula in the dataset: 0.0 meV per atom.



Here is a relaxed PmNdEr6 crystal from the Alexandria database. Energies are from PBE.

Structure (POSCAR):
```
PmNdEr6
1.0
-6.546 -1.786 -1.816
1.375 -2.085 6.565
0.902 6.939 -0.605
Pm Nd Er
1 1 6
Direct
0.000 0.000 0.000
0.500 0.500 0.500
0.250 0.751 0.250
0.250 0.250 0.751
0.750 0.249 0.750
0.249 0.750 0.750
0.750 0.750 0.249
0.751 0.250 0.250
```

Computed properties:
The calculation puts the magnetic moment at 1.0 μB/f.u. The value obtained for the calculated volume is 257.1 Å³/f.u. The calculation puts the density of states at the Fermi level at 16.22 states/eV per cell. As for the excess energy over the best structure of this formula in the dataset: 0.0 meV per atom.



Here is a relaxed Pm2Nd2Er5 crystal from the Alexandria database. Energies are from PBE.

Structure (POSCAR):
```
Pm2Nd2Er5
1.0
-4.743 -4.286 9.987
4.183 -5.275 -0.277
5.327 8.572 -0.831
Pm Nd Er
4 4 10
Direct
0.122 0.684 0.254
0.878 0.431 0.746
0.631 0.184 0.254
0.369 0.931 0.746
0.000 0.009 0.000
0.500 0.509 0.000
0.260 0.357 0.500
0.740 0.857 0.500
0.204 0.652 0.894
0.796 0.758 0.106
0.189 0.152 0.894
0.811 0.258 0.106
0.377 0.037 0.284
0.623 0.752 0.716
0.407 0.537 0.284
0.593 0.252 0.716
0.004 0.656 0.500
0.996 0.156 0.500
```

Computed properties:
The calculation puts the magnetic moment at 0.0 μB/f.u. The value obtained for the calculated volume is 299.1 Å³/f.u. The calculation puts the density of states at the Fermi level at 29.08 states/eV per cell. As for the excess energy over the best structure of this formula in the dataset: 188.2 meV per atom.